(1)
A plane-wave DFT calculation with meta-GGA SCAN was carried out for a PBEsol-optimized structure of GdCdHg2.

Cell: 5.0147 5.0147 5.0147 Å, 60.00 60.00 60.00°
Site moments in Bohr magnetons follow the coordinates.
Fractional coordinates of all 4 atoms:
Gd 0.5000 0.5000 0.5000  7.10
Cd 0.0000 0.0000 0.0000  -0.03
Hg 0.7500 0.7500 0.7500  -0.01
Hg 0.2500 0.2500 0.2500  -0.01

Total energy in eV per atom: -56.88
Total magnetization in μB/f.u.: 7.17
E_form in eV per atom: -0.49
Calculated volume in A^3/atom: 22.29

(2)
A plane-wave DFT calculation with meta-GGA SCAN was carried out for a PBEsol-optimized structure of YGaGe3.

Cell: 5.2949 5.2949 5.2949 Å, 90.00 90.00 90.00°
Fractional coordinates of all 5 atoms:
Y 0.0000 0.0000 0.0000
Ge 0.0000 0.5000 0.0000
Ge 0.0000 0.0000 0.5000
Ge 0.5000 0.0000 0.0000
Ga 0.5000 0.5000 0.5000

Total energy in eV per atom: -19.49
Total magnetization in μB/f.u.: 0.00
E_form in eV per atom: 0.80
Calculated volume in A^3/atom: 29.69

(3)
A plane-wave DFT calculation with meta-GGA SCAN was carried out for a PBEsol-optimized structure of Cs2AgH.

Cell: 7.4967 7.4967 7.4967 Å, 107.98 110.22 110.22°
Fractional coordinates of all 8 atoms:
Cs 0.0688 0.8750 0.4438
Cs 0.9312 0.3750 0.8062
Cs 0.4312 0.5562 0.6250
Cs 0.5688 0.1938 0.1250
H 0.0000 0.5000 0.5000
H 0.5000 0.2500 0.7500
Ag 0.0000 0.0000 0.0000
Ag 0.5000 0.7500 0.2500

Total energy in eV per atom: -27.62
Total magnetization in μB/f.u.: 0.00
Calculated volume in A^3/atom: 40.52

(4)
A plane-wave DFT calculation with meta-GGA SCAN was carried out for a PBEsol-optimized structure of Sc2HgIrCl.

Cell: 4.5549 4.5549 4.9177 Å, 90.00 90.00 90.00°
Fractional coordinates of all 5 atoms:
Sc 0.0000 0.5000 0.0000
Sc 0.5000 0.0000 0.0000
Ir 0.5000 0.5000 0.5000
Hg 0.0000 0.0000 0.5000
Cl 0.0000 0.0000 0.0000

Total energy in eV per atom: -34.92
Total magnetization in μB/f.u.: 0.00
Formation energy (no corrections) in eV/f.u.: 1.1
Calculated volume in A^3/atom: 20.41

(5)
A plane-wave DFT calculation with meta-GGA SCAN was carried out for a PBEsol-optimized structure of MoRh2SeBr.

Cell: 4.7106 4.7341 4.7341 Å, 90.00 90.00 90.00°
Fractional coordinates of all 5 atoms:
Mo 0.0000 0.0000 0.0000
Rh 0.0000 0.0000 0.5000
Rh 0.0000 0.5000 0.0000
Se 0.5000 0.0000 0.0000
Br 0.5000 0.5000 0.5000

Total energy in eV per atom: -27.45
Total magnetization in μB/f.u.: 0.00
Formation energy (no corrections) in eV/f.u.: 4.7
Calculated volume in A^3/atom: 21.11

(6)
A plane-wave DFT calculation with meta-GGA SCAN was carried out for a PBEsol-optimized structure of Y3Ir.

Cell: 4.0004 4.8078 5.0602 Å, 90.00 90.00 90.00°
Fractional coordinates of all 4 atoms:
Ir 0.0000 0.0000 0.0011
Y 0.0000 0.5000 0.3647
Y 0.5000 0.0000 0.4055
Y 0.5000 0.5000 0.8954

Total energy in eV per atom: -38.93
Total magnetization in μB/f.u.: 0.00
E_form in eV per atom: -0.28
Calculated volume in A^3/atom: 24.33

- What is the formula in the sixth record?
  Y3Ir

- What is the total magnetization in the fifth record?
  0.00 μB/f.u.

- What is the formula in the sixth record?
  Y3Ir

- Which formula does entry 6 have?
  Y3Ir